1.
Below is a crystal of Hf2CrGaAs relaxed with PBEsol, with properties calculated at the meta-GGA SCAN level.

crystal system: tetragonal
space group: P4/mmm (123)
energy relative to the elements: 0.247 eV per atom

The structure in POSCAR format:
```
Hf2CrGaAs
1.0
4.446 0.000 0.000
0.000 4.886 0.000
0.000 0.000 4.886
Cr Ga Hf As
1 1 2 1
direct
0.500 0.000 0.000
0.500 0.500 0.500
0.000 0.500 0.000
0.000 0.000 0.500
0.000 0.000 0.000
```



2.
Below is a crystal of SrNiHg2Ge relaxed with PBEsol, with properties calculated at the meta-GGA SCAN level.

crystal system: tetragonal
space group: P4/mmm (123)
energy relative to the elements: 0.162 eV per atom

The structure in POSCAR format:
```
SrNiHg2Ge
1.0
-1.552 0.840 -4.564
-4.639 -0.389 1.506
-0.111 5.089 0.974
Ni Hg Ge Sr
1 2 1 1
direct
0.000 0.000 0.000
0.500 0.000 0.000
0.000 0.500 0.000
0.500 0.500 0.500
0.000 0.000 0.500
```



3.
Below is a crystal of AlCoCu2 relaxed with PBEsol, with properties calculated at the meta-GGA SCAN level.

crystal system: cubic
space group: F-43m (216)
energy relative to the elements: -0.220 eV per atom

The structure in POSCAR format:
```
AlCoCu2
1.0
-3.708 -0.351 -1.493
-2.400 -2.957 1.264
-3.178 0.841 2.302
Co Cu Al
1 2 1
direct
0.250 0.250 0.250
0.000 0.000 0.000
0.750 0.750 0.750
0.500 0.500 0.500
```



4.
Below is a crystal of SbAs2W relaxed with PBEsol, with properties calculated at the meta-GGA SCAN level.

formation energy (no corrections): 0.41 eV per atom
crystal system: trigonal
space group: R3m (160)

The structure in POSCAR format:
```
SbAs2W
1.0
3.156 0.000 0.000
1.578 2.733 0.000
1.578 0.911 8.911
Sb As W
1 2 1
direct
0.509 0.509 0.472
0.989 0.989 0.032
0.745 0.745 0.764
0.256 0.256 0.231
```



5.
Below is a crystal of BaTiHN2 relaxed with PBEsol, with properties calculated at the meta-GGA SCAN level.

crystal system: tetragonal
space group: P4/mmm (123)
E_tot: -16.37 eV per atom

The structure in POSCAR format:
```
BaTiHN2
1.0
-2.618 0.962 2.873
1.227 -3.135 2.168
2.871 2.382 1.819
N H Ti Ba
2 1 1 1
direct
0.500 0.000 0.000
0.000 0.500 0.000
0.000 0.000 0.500
0.000 0.000 0.000
0.500 0.500 0.500
```



6.
Below is a crystal of Ti2TlPdBr relaxed with PBEsol, with properties calculated at the meta-GGA SCAN level.

formation energy (no corrections): 0.78 eV per atom
crystal system: tetragonal
space group: P4/mmm (123)

The structure in POSCAR format:
```
Ti2TlPdBr
1.0
-0.618 2.432 -3.791
-4.314 -1.420 -0.208
-1.555 4.286 3.003
Ti Pd Br Tl
2 1 1 1
direct
0.000 0.500 0.000
0.500 0.000 0.000
0.500 0.500 0.500
0.000 0.000 0.000
0.000 0.000 0.500
```



7.
Below is a crystal of BaBe2P2O8 relaxed with PBEsol, with properties calculated at the meta-GGA SCAN level.

formation energy (no corrections): -2.99 eV per atom
crystal system: trigonal
space group: P-3m1 (164)

The structure in POSCAR format:
```
BaBe2P2O8
1.0
5.063 0.000 0.000
-2.532 4.385 0.000
0.000 0.000 7.423
Be O Ba P
2 8 1 2
direct
0.333 0.667 0.703
0.667 0.333 0.297
0.504 0.496 0.791
0.496 0.993 0.209
0.007 0.504 0.209
0.496 0.504 0.209
0.333 0.667 0.492
0.504 0.007 0.791
0.993 0.496 0.791
0.667 0.333 0.508
0.000 0.000 0.000
0.333 0.667 0.290
0.667 0.333 0.710
```



8.
Below is a crystal of Hg2BrCl relaxed with PBEsol, with properties calculated at the meta-GGA SCAN level.

formation energy (no corrections): -0.26 eV per atom
crystal system: orthorhombic
space group: Cmm2 (35)

The structure in POSCAR format:
```
Hg2BrCl
1.0
-2.935 1.766 1.976
-0.676 -2.285 -2.919
-0.416 -6.448 5.145
Cl Hg Br
1 2 1
direct
0.500 0.000 0.792
0.500 0.000 0.245
0.000 0.000 0.996
0.000 0.000 0.467
```



9.
Below is a crystal of KFeTcCl2 relaxed with PBEsol, with properties calculated at the meta-GGA SCAN level.

formation energy (no corrections): 1.00 eV per atom
crystal system: tetragonal
space group: P4/mmm (123)

The structure in POSCAR format:
```
KFeTcCl2
1.0
5.305 0.000 0.000
0.000 5.305 0.000
0.000 0.000 5.523
Cl Tc K Fe
2 1 1 1
direct
0.500 0.000 0.000
0.000 0.500 0.000
0.500 0.500 0.500
0.000 0.000 0.000
0.000 0.000 0.500
```



10.
Below is a crystal of ReRh relaxed with PBEsol, with properties calculated at the meta-GGA SCAN level.

crystal system: orthorhombic
space group: Pmmn (59)
energy relative to the elements: -0.149 eV per atom

The structure in POSCAR format:
```
ReRh
1.0
2.726 0.000 0.000
0.000 4.307 0.000
0.000 0.000 4.750
Rh Re
2 2
direct
0.500 0.000 0.078
0.000 0.500 0.922
0.000 0.000 0.592
0.500 0.500 0.408
```



11.
Below is a crystal of TaAsOs2 relaxed with PBEsol, with properties calculated at the meta-GGA SCAN level.

crystal system: orthorhombic
space group: Pmm2 (25)
energy relative to the elements: 0.131 eV per atom

The structure in POSCAR format:
```
TaAsOs2
1.0
-2.002 1.773 -1.043
-1.450 -2.991 -2.303
-3.242 -1.394 3.852
As Os Ta
1 2 1
direct
0.500 0.500 0.778
0.000 0.000 0.980
0.500 0.500 0.256
0.000 0.000 0.486
```



12.
Below is a crystal of SbP4O12 relaxed with PBEsol, with properties calculated at the meta-GGA SCAN level.

formation energy (no corrections): -2.09 eV per atom
crystal system: triclinic
space group: P-1 (2)

The structure in POSCAR format:
```
SbP4O12
1.0
-3.956 -5.537 2.263
1.369 -0.351 -7.600
9.396 -1.590 2.735
O P Sb
24 8 2
direct
0.286 0.676 0.153
0.512 0.819 0.569
0.405 0.224 0.930
0.668 0.777 0.337
0.484 0.463 0.149
0.082 0.638 0.854
0.794 0.495 0.596
0.118 0.790 0.430
0.016 0.853 0.689
0.118 0.324 0.943
0.882 0.210 0.570
0.332 0.223 0.663
0.804 0.365 0.357
0.196 0.635 0.643
0.488 0.181 0.431
0.232 0.107 0.110
0.206 0.505 0.404
0.714 0.324 0.847
0.516 0.537 0.851
0.918 0.362 0.146
0.595 0.776 0.070
0.984 0.147 0.311
0.768 0.893 0.890
0.882 0.676 0.057
0.513 0.677 0.186
0.291 0.262 0.038
0.277 0.714 0.511
0.709 0.738 0.962
0.979 0.338 0.305
0.021 0.662 0.695
0.723 0.286 0.489
0.487 0.323 0.814
0.000 0.500 0.000
0.000 0.000 0.500
```



13.
Below is a crystal of LiMg2Al relaxed with PBEsol, with properties calculated at the meta-GGA SCAN level.

crystal system: monoclinic
space group: P2/m (10)
energy relative to the elements: -0.007 eV per atom

The structure in POSCAR format:
```
LiMg2Al
1.0
-0.988 2.655 -0.925
-4.302 -1.792 -0.550
-0.920 0.526 5.483
Mg Li Al
2 1 1
direct
0.237 0.000 0.249
0.763 0.000 0.751
0.000 0.500 0.500
0.500 0.500 0.000
```



14.
Below is a crystal of Li3Cu relaxed with PBEsol, with properties calculated at the meta-GGA SCAN level.

crystal system: orthorhombic
space group: Cmmm (65)
energy relative to the elements: 0.054 eV per atom

The structure in POSCAR format:
```
Li3Cu
1.0
-1.154 0.862 -2.237
1.750 -3.777 -2.358
-4.302 -1.030 1.823
Li Cu
3 1
direct
0.000 0.500 0.500
0.500 0.500 0.000
0.500 0.000 0.500
0.000 0.000 0.000
```



15.
Below is a crystal of CaPrRh2 relaxed with PBEsol, with properties calculated at the meta-GGA SCAN level.

crystal system: cubic
space group: Fm-3m (225)
energy relative to the elements: -0.527 eV per atom

The structure in POSCAR format:
```
CaPrRh2
1.0
-0.395 -4.780 -0.707
2.642 -3.071 2.663
-2.149 -2.776 3.343
Rh Ca Pr
2 1 1
direct
0.250 0.250 0.250
0.750 0.750 0.750
0.000 0.000 0.000
0.500 0.500 0.500
```



16.
Below is a crystal of Li2PtSe relaxed with PBEsol, with properties calculated at the meta-GGA SCAN level.

formation energy (no corrections): -0.36 eV per atom
crystal system: tetragonal
space group: P4mm (99)

The structure in POSCAR format:
```
Li2PtSe
1.0
-0.092 -3.278 0.912
3.283 0.154 0.886
-1.391 1.404 4.907
Li Se Pt
2 1 1
direct
0.000 0.000 0.996
0.500 0.500 0.264
0.500 0.500 0.733
0.000 0.000 0.506
```



17.
Below is a crystal of TaTcS3 relaxed with PBEsol, with properties calculated at the meta-GGA SCAN level.

formation energy (no corrections): 0.18 eV per atom
crystal system: cubic
space group: Pm-3m (221)

The structure in POSCAR format:
```
TaTcS3
1.0
4.720 0.000 0.000
0.000 4.720 0.000
0.000 0.000 4.720
S Tc Ta
3 1 1
direct
0.000 0.500 0.000
0.000 0.000 0.500
0.500 0.000 0.000
0.500 0.500 0.500
0.000 0.000 0.000
```



18.
Below is a crystal of ZnCdP2 relaxed with PBEsol, with properties calculated at the meta-GGA SCAN level.

crystal system: tetragonal
space group: P4/mmm (123)
energy relative to the elements: 0.499 eV per atom

The structure in POSCAR format:
```
ZnCdP2
1.0
-0.670 2.834 -0.861
-2.657 -0.965 -1.108
-3.106 1.209 6.395
Zn Cd P
1 1 2
direct
0.500 0.500 0.000
0.500 0.500 0.500
0.000 0.000 0.221
0.000 0.000 0.779
```



19.
Below is a crystal of MoIrPt2 relaxed with PBEsol, with properties calculated at the meta-GGA SCAN level.

crystal system: orthorhombic
space group: Pmm2 (25)
energy relative to the elements: -0.277 eV per atom

The structure in POSCAR format:
```
MoIrPt2
1.0
2.732 0.000 0.000
0.000 3.896 0.000
0.000 0.000 5.520
Ir Mo Pt
1 1 2
direct
0.000 0.000 0.510
0.500 0.500 0.741
0.000 0.000 0.997
0.500 0.500 0.252
```



20.
Below is a crystal of RbZr3B relaxed with PBEsol, with properties calculated at the meta-GGA SCAN level.

crystal system: cubic
space group: Pm-3m (221)
energy relative to the elements: 2.896 eV per atom

The structure in POSCAR format:
```
RbZr3B
1.0
-3.915 -2.708 -0.949
0.820 -2.593 4.021
-2.750 3.083 2.549
B Zr Rb
1 3 1
direct
0.500 0.500 0.500
0.000 0.500 0.000
0.000 0.000 0.500
0.500 0.000 0.000
0.000 0.000 0.000
```



21.
Below is a crystal of Al3Ni2 relaxed with PBEsol, with properties calculated at the meta-GGA SCAN level.

crystal system: trigonal
space group: P-3m1 (164)
energy relative to the elements: -0.707 eV per atom

The structure in POSCAR format:
```
Al3Ni2
1.0
-0.677 -2.617 2.939
0.174 -1.253 -3.788
4.797 -0.725 0.460
Al Ni
3 2
direct
0.333 0.667 0.648
0.667 0.333 0.352
0.000 0.000 0.000
0.667 0.333 0.854
0.333 0.667 0.146
```



22.
Below is a crystal of LiTe relaxed with PBEsol, with properties calculated at the meta-GGA SCAN level.

formation energy (no corrections): -0.74 eV per atom
crystal system: monoclinic
space group: P2_1/m (11)

The structure in POSCAR format:
```
LiTe
1.0
-1.509 -1.749 1.977
-2.028 -2.152 -3.451
5.692 -4.034 -0.829
Te Li
2 2
direct
0.822 0.750 0.268
0.178 0.250 0.732
0.279 0.250 0.140
0.721 0.750 0.860
```



23.
Below is a crystal of SrTcCl2 relaxed with PBEsol, with properties calculated at the meta-GGA SCAN level.

formation energy (no corrections): -0.71 eV per atom
crystal system: orthorhombic
space group: Immm (71)

The structure in POSCAR format:
```
SrTcCl2
1.0
-2.847 -0.101 2.501
1.715 -0.780 4.793
0.045 4.120 3.090
Tc Cl Sr
1 2 1
direct
0.000 0.500 0.500
0.684 0.316 0.316
0.316 0.684 0.684
0.500 0.000 0.000
```



24.
Below is a crystal of Li2CaTa relaxed with PBEsol, with properties calculated at the meta-GGA SCAN level.

crystal system: cubic
space group: F-43m (216)
energy relative to the elements: 0.987 eV per atom

The structure in POSCAR format:
```
Li2CaTa
1.0
-0.152 4.770 -1.331
-3.962 1.782 -2.382
-3.082 3.118 2.308
Li Ta Ca
2 1 1
direct
0.750 0.750 0.750
0.000 0.000 0.000
0.250 0.250 0.250
0.500 0.500 0.500
```



25.
Below is a crystal of Cs3AlPb relaxed with PBEsol, with properties calculated at the meta-GGA SCAN level.

crystal system: cubic
space group: Pm-3m (221)
energy relative to the elements: 0.490 eV per atom

The structure in POSCAR format:
```
Cs3AlPb
1.0
7.200 0.000 0.000
0.000 7.200 0.000
0.000 0.000 7.200
Cs Al Pb
3 1 1
direct
0.500 0.000 0.000
0.000 0.500 0.000
0.000 0.000 0.500
0.500 0.500 0.500
0.000 0.000 0.000
```



26.
Below is a crystal of BePtAu2 relaxed with PBEsol, with properties calculated at the meta-GGA SCAN level.

crystal system: tetragonal
space group: I-4m2 (119)
energy relative to the elements: -0.089 eV per atom

The structure in POSCAR format:
```
BePtAu2
1.0
3.936 0.000 0.000
0.000 3.936 0.000
-1.968 -1.968 3.800
Be Pt Au
1 1 2
direct
0.500 0.500 0.000
0.250 0.750 0.500
0.750 0.250 0.500
0.000 0.000 0.000
```



27.
Below is a crystal of Cd2CoTc relaxed with PBEsol, with properties calculated at the meta-GGA SCAN level.

crystal system: monoclinic
space group: P2/m (10)
energy relative to the elements: 0.442 eV per atom

The structure in POSCAR format:
```
Cd2CoTc
1.0
-1.338 0.905 -2.129
3.278 -1.427 -2.666
-1.813 -5.014 0.455
Co Cd Tc
1 2 1
direct
0.500 0.500 0.000
0.314 0.000 0.243
0.686 0.000 0.757
0.000 0.500 0.500
```



28.
Below is a crystal of KNiHg3 relaxed with PBEsol, with properties calculated at the meta-GGA SCAN level.

crystal system: cubic
space group: Pm-3m (221)
energy relative to the elements: -0.182 eV per atom

The structure in POSCAR format:
```
KNiHg3
1.0
-0.160 0.180 5.024
-3.924 -3.147 -0.012
3.143 -3.920 0.241
Ni K Hg
1 1 3
direct
0.000 0.000 0.000
0.500 0.500 0.500
0.000 0.000 0.500
0.000 0.500 0.000
0.500 0.000 0.000
```